Here is crystalline ScNiP2 at its relaxed geometry from Alexandria. Energies are from PBE.

a b c (Å): 3.7844 3.7844 6.0202
angles (deg): 62.62 62.62 59.47
Atoms (fractional coordinates):
Ni 0.7500 0.7500 0.7500
P 0.0507 0.0507 0.9529
P 0.4493 0.4493 0.5471
Sc 0.2500 0.2500 0.2500

Results
crystal system: monoclinic
energy of formation: -0.688 eV per atom